Crystalline CeLu2P at its relaxed geometry. Source: the Alexandria database, functional PBE.

The density is 8.84 Mg/m³. Its magnetic moment is 0.93 μB/cell. The value obtained for the total energy is -0.2064 hartree per atom. As for the density of states at the Fermi level: 1.621 states/eV per atom.

Structure (CIF):
```
data_CeLu2P
_chemical_formula_sum 'Ce1 Lu2 P1'
_symmetry_space_group_name_H-M 'P 4/m m m'
_symmetry_Int_Tables_number 123
_symmetry_space_group_name_Hall '-P 4 2'
_cell_length_a 3.491
_cell_length_b 3.491
_cell_length_c 8.028
_cell_angle_alpha 90.00
_cell_angle_beta 90.00
_cell_angle_gamma 90.00
loop_
_atom_site_label
_atom_site_fract_x
_atom_site_fract_y
_atom_site_fract_z
Ce1 0.000 0.000 0.000
Lu1 0.500 0.500 0.309
P1 0.000 0.000 0.500
```


Crystalline Ce2LuP at its relaxed geometry. Source: the Alexandria database, functional PBE.

The density is 6.90 Mg/m³. Its magnetic moment is 4.81 μB/cell. The value obtained for the total energy is -0.2138 hartree per atom. As for the density of states at the Fermi level: 2.570 states/eV per atom.

Structure (CIF):
```
data_Ce2LuP
_chemical_formula_sum 'Ce6 Lu3 P3'
_symmetry_space_group_name_H-M 'R -3 m'
_symmetry_Int_Tables_number 166
_symmetry_space_group_name_Hall '-R 3 2"'
_cell_length_a 3.6698
_cell_length_b 3.6698
_cell_length_c 30.0988
_cell_angle_alpha 90.00
_cell_angle_beta 90.00
_cell_angle_gamma 120.00
loop_
_atom_site_label
_atom_site_fract_x
_atom_site_fract_y
_atom_site_fract_z
Ce1 0.0000 0.0000 0.1080
Lu1 0.0000 0.0000 0.0000
P1 0.0000 0.0000 0.5000
```


Crystalline CeLuP2 at its relaxed geometry. Source: the Alexandria database, functional PBE.

The density is 6.92 Mg/m³. Its magnetic moment is 1.54 μB/cell. The value obtained for the total energy is -0.2519 hartree per atom. As for the density of states at the Fermi level: 1.151 states/eV per atom.

Structure (CIF):
```
data_CeLuP2
_chemical_formula_sum 'Ce3 Lu3 P6'
_symmetry_space_group_name_H-M 'R -3 m'
_symmetry_Int_Tables_number 166
_symmetry_space_group_name_Hall '-R 3 2"'
_cell_length_a 4.0076
_cell_length_b 4.0076
_cell_length_c 19.5268
_cell_angle_alpha 90.00
_cell_angle_beta 90.00
_cell_angle_gamma 120.00
loop_
_atom_site_label
_atom_site_fract_x
_atom_site_fract_y
_atom_site_fract_z
Ce1 0.0000 0.0000 0.0000
Lu1 0.0000 0.0000 0.5000
P1 0.0000 0.0000 0.2468
```


Crystalline CeLuP at its relaxed geometry. Source: the Alexandria database, functional PBE.

The density is 6.99 Mg/m³. Its magnetic moment is 1.91 μB/cell. The value obtained for the total energy is -0.2250 hartree per atom. As for the density of states at the Fermi level: 1.715 states/eV per atom.

Structure (CIF):
```
data_CeLuP
_chemical_formula_sum 'Ce1 Lu1 P1'
_symmetry_space_group_name_H-M 'P 3 m 1'
_symmetry_Int_Tables_number 156
_cell_length_a 3.8321
_cell_length_b 3.8321
_cell_length_c 6.4644
_cell_angle_alpha 90.00
_cell_angle_beta 90.00
_cell_angle_gamma 120.00
loop_
_symmetry_equiv_pos_as_xyz
'x,y,z'
'-y,x-y,z'
'-x+y,-x,z'
'-y,-x,z'
'-x+y,y,z'
'x,x-y,z'
loop_
_atom_site_label
_atom_site_fract_x
_atom_site_fract_y
_atom_site_fract_z
Ce1 0.0000 0.0000 0.0000
Lu1 0.3333 0.6667 0.5114
P1 0.6667 0.3333 0.2680
```